1.
Density functional theory data (GGA-PBE) for an optimized crystal structure of LiLuGe.

The value obtained for the calculated volume is 58.1 Å³/f.u. As for the total energy: -48.9 eV/cell.

The space group is F-43m (No. 216) and the conventional cell measures 6.149, 6.149 and 6.149 Å, with angles of 90.00, 90.00 and 90.00 degrees. Symmetry generates all atoms from Li at (0.000, 0.000, 0.000), Lu at (0.250, 0.250, 0.250) and Ge at (0.250, 0.250, 0.750).



2.
Density functional theory data (GGA-PBE) for an optimized crystal structure of LiLuGe.

The value obtained for the calculated volume is 57.6 Å³/f.u. As for the total energy: -39.4 eV/cell.

The space group is P-62m (No. 189) and the conventional cell measures 6.8945, 6.8945 and 4.1951 Å, with angles of 90.00, 90.00 and 120.00 degrees. Symmetry generates all atoms from Li at (0.0000, 0.7673, 0.0000), Lu at (0.0000, 0.4284, 0.5000), Ge at (0.0000, 0.0000, 0.5000) and Ge at (0.3333, 0.6667, 0.0000).



3.
Density functional theory data (GGA-PBE) for an optimized crystal structure of LiLuGe2.

The value obtained for the calculated volume is 77.7 Å³/f.u. As for the total energy: -65.1 eV/cell.

The space group is F-43m (No. 216) and the conventional cell measures 6.774, 6.774 and 6.774 Å, with angles of 90.00, 90.00 and 90.00 degrees. Symmetry generates all atoms from Li at (0.000, 0.000, 0.000), Lu at (0.250, 0.250, 0.250), Ge at (0.000, 0.000, 0.500) and Ge at (0.250, 0.250, 0.750).



4.
Density functional theory data (GGA-PBE) for an optimized crystal structure of LiLuGePd.

The value obtained for the calculated volume is 72.0 Å³/f.u. As for the total energy: -75.0 eV/cell.

The space group is F-43m (No. 216) and the conventional cell measures 6.603, 6.603 and 6.603 Å, with angles of 90.00, 90.00 and 90.00 degrees. Symmetry generates all atoms from Li at (0.000, 0.000, 0.000), Lu at (0.000, 0.000, 0.500), Ge at (0.250, 0.250, 0.250) and Pd at (0.250, 0.250, 0.750).



5.
Density functional theory data (GGA-PBE) for an optimized crystal structure of LiLuGePd.

The value obtained for the calculated volume is 66.6 Å³/f.u. As for the total energy: -76.7 eV/cell.

The space group is F-43m (No. 216) and the conventional cell measures 6.435, 6.435 and 6.435 Å, with angles of 90.00, 90.00 and 90.00 degrees. Symmetry generates all atoms from Li at (0.000, 0.000, 0.000), Lu at (0.250, 0.250, 0.250), Ge at (0.250, 0.250, 0.750) and Pd at (0.000, 0.000, 0.500).



6.
Density functional theory data (GGA-PBE) for an optimized crystal structure of LiLuGePd.

The value obtained for the calculated volume is 67.5 Å³/f.u. As for the total energy: -75.3 eV/cell.

The space group is F-43m (No. 216) and the conventional cell measures 6.462, 6.462 and 6.462 Å, with angles of 90.00, 90.00 and 90.00 degrees. Symmetry generates all atoms from Li at (0.000, 0.000, 0.000), Lu at (0.250, 0.250, 0.250), Ge at (0.000, 0.000, 0.500) and Pd at (0.250, 0.250, 0.750).